The following is a PBE calculation of a geometry-optimized MgZn2Pd structure, from OQMD. Values from VASP.

The calculated volume comes out at 122.7 Å³/cell. The total energy is -0.201 Ry/atom. Its symmetry is No. 59.

The structure in Quantum ESPRESSO input format:
```
&SYSTEM
  ibrav = 0, nat = 8, ntyp = 3
/
ATOMIC_SPECIES
Mg 24.30 Mg.upf
Pd 106.42 Pd.upf
Zn 65.41 Zn.upf
CELL_PARAMETERS angstrom
-1.5387 0.4061 4.2175
-4.4021 -3.0098 -1.3163
2.4327 -4.1196 1.2842
ATOMIC_POSITIONS crystal
Mg 0.5000 0.5000 0.1369
Mg 0.0000 0.0000 0.8631
Pd 0.5000 0.0000 0.1721
Pd 0.0000 0.5000 0.8279
Zn 0.0000 0.2547 0.3470
Zn 0.0000 0.7453 0.3470
Zn 0.5000 0.2453 0.6530
Zn 0.5000 0.7547 0.6530
```

***

The following is a PBE calculation of a geometry-optimized MgZnPd2 structure, from OQMD. Values from VASP.

The calculated volume comes out at 131.5 Å³/cell. The total energy is -0.269 Ry/atom. Its symmetry is No. 194.

The structure in Quantum ESPRESSO input format:
```
&SYSTEM
  ibrav = 0, nat = 8, ntyp = 3
/
ATOMIC_SPECIES
Mg 24.30 Mg.upf
Pd 106.42 Pd.upf
Zn 65.41 Zn.upf
CELL_PARAMETERS angstrom
2.2156 -3.8375 0.0000
2.2156 3.8375 0.0000
0.0000 0.0000 7.7331
ATOMIC_POSITIONS crystal
Mg 0.0000 0.0000 0.2500
Mg 0.0000 0.0000 0.7500
Pd 0.3333 0.6667 0.0783
Pd 0.3333 0.6667 0.4217
Pd 0.6667 0.3333 0.5783
Pd 0.6667 0.3333 0.9217
Zn 0.6667 0.3333 0.2500
Zn 0.3333 0.6667 0.7500
```

***

The following is a PBE calculation of a geometry-optimized MgZnPd structure, from OQMD. Values from VASP.

The calculated volume comes out at 94.2 Å³/cell. The total energy is -0.233 Ry/atom. Its symmetry is No. 38.

The structure in Quantum ESPRESSO input format:
```
&SYSTEM
  ibrav = 0, nat = 6, ntyp = 3
/
ATOMIC_SPECIES
Mg 24.30 Mg.upf
Pd 106.42 Pd.upf
Zn 65.41 Zn.upf
CELL_PARAMETERS angstrom
-2.5681 -2.2982 -2.6100
-0.4571 -4.8884 4.7541
-2.9595 -2.8783 5.4464
ATOMIC_POSITIONS crystal
Mg 0.5000 0.0624 0.0624
Mg 0.0000 0.2516 0.2516
Pd 0.5000 0.7267 0.7267
Pd 0.0000 0.9210 0.9210
Zn 0.5000 0.3871 0.3871
Zn 0.0000 0.5806 0.5806
```

***

The following is a PBE calculation of a geometry-optimized Mg3Zn4Pd2 structure, from OQMD. Values from VASP.

The calculated volume comes out at 149.7 Å³/cell. The total energy is -0.193 Ry/atom. Its symmetry is No. 12.

The structure in Quantum ESPRESSO input format:
```
&SYSTEM
  ibrav = 0, nat = 9, ntyp = 3
/
ATOMIC_SPECIES
Mg 24.30 Mg.upf
Pd 106.42 Pd.upf
Zn 65.41 Zn.upf
CELL_PARAMETERS angstrom
-0.3775 4.5953 2.5750
-4.0000 2.0256 2.7905
3.3953 -4.3898 4.7266
ATOMIC_POSITIONS crystal
Mg 0.0000 0.0000 0.0000
Mg 0.5489 0.5489 0.3236
Mg 0.4511 0.4511 0.6764
Pd 0.2420 0.2420 0.2821
Pd 0.7580 0.7580 0.7179
Zn 0.6998 0.6998 0.0520
Zn 0.8660 0.8660 0.4150
Zn 0.1340 0.1340 0.5850
Zn 0.3002 0.3002 0.9480
```

***

The following is a PBE calculation of a geometry-optimized MgZrPd2 structure, from OQMD. Values from VASP.

The calculated volume comes out at 280.6 Å³/cell. The total energy is -0.424 Ry/atom. Its symmetry is No. 65.

The structure in Quantum ESPRESSO input format:
```
&SYSTEM
  ibrav = 0, nat = 16, ntyp = 3
/
ATOMIC_SPECIES
Mg 24.30 Mg.upf
Pd 106.42 Pd.upf
Zr 91.22 Zr.upf
CELL_PARAMETERS angstrom
6.7494 0.0000 0.0000
0.0000 6.8116 0.0000
0.0000 0.0000 6.1032
ATOMIC_POSITIONS crystal
Mg 0.7500 0.2500 0.0000
Mg 0.2500 0.7500 0.0000
Mg 0.2500 0.7500 0.5000
Mg 0.7500 0.2500 0.5000
Pd 0.0001 0.5002 0.2500
Pd 0.0001 0.9998 0.2500
Pd 0.5001 0.0002 0.2500
Pd 0.5001 0.4998 0.2500
Pd 0.4999 0.5002 0.7500
Pd 0.4999 0.9998 0.7500
Pd 0.9999 0.0002 0.7500
Pd 0.9999 0.4998 0.7500
Zr 0.2500 0.2500 0.0000
Zr 0.7500 0.7500 0.0000
Zr 0.2500 0.2500 0.5000
Zr 0.7500 0.7500 0.5000
```

***

The following is a PBE calculation of a geometry-optimized MgZrPd2 structure, from OQMD. Values from VASP.

The calculated volume comes out at 70.2 Å³/cell. The total energy is -0.424 Ry/atom. Its symmetry is No. 123.

The structure in Quantum ESPRESSO input format:
```
&SYSTEM
  ibrav = 0, nat = 4, ntyp = 3
/
ATOMIC_SPECIES
Mg 24.30 Mg.upf
Pd 106.42 Pd.upf
Zr 91.22 Zr.upf
CELL_PARAMETERS angstrom
4.7960 0.0000 0.0000
0.0000 4.7960 0.0000
0.0000 0.0000 3.0541
ATOMIC_POSITIONS crystal
Mg 0.5000 0.5000 0.0000
Pd 0.5000 0.0000 0.5000
Pd 0.0000 0.5000 0.5000
Zr 0.0000 0.0000 0.0000
```

***

The following is a PBE calculation of a geometry-optimized MgZrPd2 structure, from OQMD. Values from VASP.

The calculated volume comes out at 70.1 Å³/cell. The total energy is -0.425 Ry/atom. Its symmetry is No. 123.

The structure in Quantum ESPRESSO input format:
```
&SYSTEM
  ibrav = 0, nat = 4, ntyp = 3
/
ATOMIC_SPECIES
Mg 24.30 Mg.upf
Pd 106.42 Pd.upf
Zr 91.22 Zr.upf
CELL_PARAMETERS angstrom
3.2088 0.0000 0.0000
0.0000 3.2088 0.0000
0.0000 0.0000 6.8121
ATOMIC_POSITIONS crystal
Mg 0.0000 0.0000 0.5000
Pd 0.5000 0.5000 0.2577
Pd 0.5000 0.5000 0.7423
Zr 0.0000 0.0000 0.0000
```

***

The following is a PBE calculation of a geometry-optimized MgZrPd2 structure, from OQMD. Values from VASP.

The calculated volume comes out at 144.8 Å³/cell. The total energy is -0.424 Ry/atom. Its symmetry is No. 194.

The structure in Quantum ESPRESSO input format:
```
&SYSTEM
  ibrav = 0, nat = 8, ntyp = 3
/
ATOMIC_SPECIES
Mg 24.30 Mg.upf
Pd 106.42 Pd.upf
Zr 91.22 Zr.upf
CELL_PARAMETERS angstrom
-4.3950 -0.3394 0.2894
2.4216 -3.5322 -1.0840
0.7046 -2.0597 8.2853
ATOMIC_POSITIONS crystal
Mg 0.0000 0.0000 0.0000
Mg 0.0000 0.0000 0.5000
Pd 0.6667 0.3333 0.0889
Pd 0.6667 0.3333 0.4111
Pd 0.3333 0.6667 0.5889
Pd 0.3333 0.6667 0.9111
Zr 0.3333 0.6667 0.2500
Zr 0.6667 0.3333 0.7500
```

***

The following is a PBE calculation of a geometry-optimized MgZrPd2 structure, from OQMD. Values from VASP.

The calculated volume comes out at 152.6 Å³/cell. The total energy is -0.384 Ry/atom. Its symmetry is No. 194.

The structure in Quantum ESPRESSO input format:
```
&SYSTEM
  ibrav = 0, nat = 8, ntyp = 3
/
ATOMIC_SPECIES
Mg 24.30 Mg.upf
Pd 106.42 Pd.upf
Zr 91.22 Zr.upf
CELL_PARAMETERS angstrom
-2.9323 3.2285 1.7638
-1.4973 -4.4043 -0.7017
2.2853 -1.9512 7.3709
ATOMIC_POSITIONS crystal
Mg 0.0000 0.0000 0.2500
Mg 0.0000 0.0000 0.7500
Pd 0.3333 0.6667 0.0836
Pd 0.3333 0.6667 0.4164
Pd 0.6667 0.3333 0.5836
Pd 0.6667 0.3333 0.9164
Zr 0.6667 0.3333 0.2500
Zr 0.3333 0.6667 0.7500
```

***

The following is a PBE calculation of a geometry-optimized Mg2Zr2Pd3 structure, from OQMD. Values from VASP.

The calculated volume comes out at 133.2 Å³/cell. The total energy is -0.415 Ry/atom. Its symmetry is No. 160.

The structure in Quantum ESPRESSO input format:
```
&SYSTEM
  ibrav = 0, nat = 7, ntyp = 3
/
ATOMIC_SPECIES
Mg 24.30 Mg.upf
Pd 106.42 Pd.upf
Zr 91.22 Zr.upf
CELL_PARAMETERS angstrom
-6.4084 3.1775 3.1775
-3.1775 3.1775 6.4084
-3.1775 6.4084 3.1775
ATOMIC_POSITIONS crystal
Mg 0.2459 0.2459 0.2459
Mg 0.7527 0.7527 0.7527
Pd 0.3732 0.3732 0.3732
Pd 0.6240 0.6240 0.6240
Pd 0.8775 0.8775 0.8775
Zr 0.0049 0.0049 0.0049
Zr 0.4968 0.4968 0.4968
```

***

The following is a PBE calculation of a geometry-optimized MgZrPd structure, from OQMD. Values from VASP.

The calculated volume comes out at 67.7 Å³/cell. The total energy is -0.353 Ry/atom. Its symmetry is No. 216.

The structure in Quantum ESPRESSO input format:
```
&SYSTEM
  ibrav = 0, nat = 3, ntyp = 3
/
ATOMIC_SPECIES
Mg 24.30 Mg.upf
Pd 106.42 Pd.upf
Zr 91.22 Zr.upf
CELL_PARAMETERS angstrom
0.0000 3.2353 3.2353
3.2353 0.0000 3.2353
3.2353 3.2353 0.0000
ATOMIC_POSITIONS crystal
Mg 0.2500 0.2500 0.2500
Pd 0.7500 0.7500 0.7500
Zr 0.0000 0.0000 0.0000
```

***

The following is a PBE calculation of a geometry-optimized MgZrPd2 structure, from OQMD. Values from VASP.

The calculated volume comes out at 149.2 Å³/cell. The total energy is -0.418 Ry/atom. Its symmetry is No. 194.

The structure in Quantum ESPRESSO input format:
```
&SYSTEM
  ibrav = 0, nat = 8, ntyp = 3
/
ATOMIC_SPECIES
Mg 24.30 Mg.upf
Pd 106.42 Pd.upf
Zr 91.22 Zr.upf
CELL_PARAMETERS angstrom
2.2827 -3.9538 0.0000
2.2827 3.9538 0.0000
0.0000 0.0000 8.2629
ATOMIC_POSITIONS crystal
Mg 0.3333 0.6667 0.2500
Mg 0.6667 0.3333 0.7500
Pd 0.6667 0.3333 0.0880
Pd 0.6667 0.3333 0.4120
Pd 0.3333 0.6667 0.5880
Pd 0.3333 0.6667 0.9120
Zr 0.0000 0.0000 0.0000
Zr 0.0000 0.0000 0.5000
```

***

The following is a PBE calculation of a geometry-optimized MgZrPd structure, from OQMD. Values from VASP.

The calculated volume comes out at 65.0 Å³/cell. The total energy is -0.394 Ry/atom. Its symmetry is No. 216.

The structure in Quantum ESPRESSO input format:
```
&SYSTEM
  ibrav = 0, nat = 3, ntyp = 3
/
ATOMIC_SPECIES
Mg 24.30 Mg.upf
Pd 106.42 Pd.upf
Zr 91.22 Zr.upf
CELL_PARAMETERS angstrom
-4.0868 -1.5604 -1.1089
-3.5805 1.0467 2.5398
-3.1412 2.8267 -1.5839
ATOMIC_POSITIONS crystal
Mg 0.2500 0.2500 0.2500
Pd 0.0000 0.0000 0.0000
Zr 0.7500 0.7500 0.7500
```